# 1
# Ta4ZnSi GGA-PBE optimized geometry
# Magnetization = 0.000 Bohr magnetons per cell
# Energy relative to the elements, uncorrected = 0.630 eV/atom
data_Ta4ZnSi
_chemical_formula_sum 'Ta4 Zn1 Si1'
_cell_length_a 5.433
_cell_length_b 5.433
_cell_length_c 5.433
_cell_angle_alpha 60.00
_cell_angle_beta 60.00
_cell_angle_gamma 60.00
_symmetry_space_group_name_H-M 'P 1'
_symmetry_Int_Tables_number 1
loop_
_symmetry_equiv_pos_as_xyz
'x,y,z'
loop_
_atom_site_label
_atom_site_type_symbol
_atom_site_fract_x
_atom_site_fract_y
_atom_site_fract_z
Ta1 Ta 0.125 0.125 0.125
Ta2 Ta 0.125 0.125 0.624
Ta3 Ta 0.125 0.624 0.125
Ta4 Ta 0.624 0.125 0.125
Zn1 Zn 0.500 0.500 0.500
Si1 Si 0.750 0.750 0.750



# 2
# TaZnSi2 GGA-PBE optimized geometry
# Magnetization = 0.000 Bohr magnetons per cell
# Energy relative to the elements, uncorrected = 0.182 eV/atom
data_TaZnSi2
_chemical_formula_sum 'Ta2 Zn2 Si4'
_cell_length_a 3.568
_cell_length_b 4.250
_cell_length_c 8.194
_cell_angle_alpha 90.00
_cell_angle_beta 90.00
_cell_angle_gamma 90.00
_symmetry_space_group_name_H-M 'P 1'
_symmetry_Int_Tables_number 1
loop_
_symmetry_equiv_pos_as_xyz
'x,y,z'
loop_
_atom_site_label
_atom_site_type_symbol
_atom_site_fract_x
_atom_site_fract_y
_atom_site_fract_z
Ta1 Ta 0.000 0.000 0.000
Ta2 Ta 0.500 0.500 0.000
Zn1 Zn 0.000 0.500 0.263
Zn2 Zn 0.500 0.000 0.263
Si1 Si 0.000 0.000 0.512
Si2 Si 0.000 0.500 0.757
Si3 Si 0.500 0.000 0.757
Si4 Si 0.500 0.500 0.512